# MgAlCoF2 | Alexandria | PBE with a Hubbard U | relaxed
# Magnetic moment in Bohr magnetons per cell: 1.82
# Density of states at the Fermi level in states/eV per cell: 1.11
# Total energy in eV/f.u.: -21.28
# Density in g/cm³: 2.4
data_MgAlCoF2
_symmetry_space_group_name_H-M 'P 4/m m m'
_symmetry_Int_Tables_number 123
_symmetry_space_group_name_Hall '-P 4 2'
_cell_length_a 3.666
_cell_length_b 3.666
_cell_length_c 7.777
_cell_angle_alpha 90.00
_cell_angle_beta 90.00
_cell_angle_gamma 90.00
loop_
_atom_site_label
_atom_site_type_symbol
_atom_site_fract_x
_atom_site_fract_y
_atom_site_fract_z
Mg1 Mg 0.000 0.000 0.000
Al1 Al 0.000 0.000 0.500
Co1 Co 0.500 0.500 0.500
F1 F 0.000 0.500 0.000